Y2GaN2: relaxed, PBE.

Output
E above lowest polymorph in kJ/mol of formula units: 0
Crystal system: tetragonal
Formation energy (no corrections) in eV per atom: -0.7679

```
data_Y2GaN2
_chemical_formula_sum 'Y4 Ga2 N4'
_cell_length_a 4.237
_cell_length_b 4.237
_cell_length_c 11.293
_cell_angle_alpha 90.00
_cell_angle_beta 90.00
_cell_angle_gamma 90.00
_symmetry_space_group_name_H-M 'I 4/m m m'
_symmetry_Int_Tables_number 139
_symmetry_space_group_name_Hall '-I 4 2'
loop_
_atom_site_label
_atom_site_type_symbol
_atom_site_fract_x
_atom_site_fract_y
_atom_site_fract_z
Y1 Y 0.000 0.000 0.177
Ga1 Ga 0.000 0.000 0.500
N1 N 0.000 0.500 0.250
```



ZnFeRu2N: relaxed, PBE.

Output
Crystal system: tetragonal
Formation energy (no corrections) in eV per atom: 0.0500

```
data_ZnFeRu2N
_chemical_formula_sum 'Zn1 Fe1 Ru2 N1'
_cell_length_a 4.041
_cell_length_b 4.041
_cell_length_c 3.763
_cell_angle_alpha 90.00
_cell_angle_beta 90.00
_cell_angle_gamma 90.00
_symmetry_space_group_name_H-M 'P 4/m m m'
_symmetry_Int_Tables_number 123
_symmetry_space_group_name_Hall '-P 4 2'
loop_
_atom_site_label
_atom_site_type_symbol
_atom_site_fract_x
_atom_site_fract_y
_atom_site_fract_z
Zn1 Zn 0.000 0.000 0.000
Fe1 Fe 0.500 0.500 0.000
Ru1 Ru 0.000 0.500 0.500
N1 N 0.500 0.500 0.500
```



YLu3C: relaxed, PBE.

Output
Crystal system: cubic
ΔE_f in eV/atom: -0.0527

```
data_YLu3C
_chemical_formula_sum 'Y1 Lu3 C1'
_cell_length_a 4.937
_cell_length_b 4.937
_cell_length_c 4.937
_cell_angle_alpha 90.00
_cell_angle_beta 90.00
_cell_angle_gamma 90.00
_symmetry_space_group_name_H-M 'P m -3 m'
_symmetry_Int_Tables_number 221
_symmetry_space_group_name_Hall '-P 4 2 3'
loop_
_atom_site_label
_atom_site_type_symbol
_atom_site_fract_x
_atom_site_fract_y
_atom_site_fract_z
Y1 Y 0.000 0.000 0.000
Lu1 Lu 0.000 0.500 0.500
C1 C 0.500 0.500 0.500
```